Density functional theory data (PBE-GGA) for a geometry-optimized K3PdF8 structure.

abc: 5.927 5.927 11.457
angles: 90.00 90.00 90.00
Space group I4/mmm (No. 139)
Unique sites:
K  0.000  0.000  0.000 (multiplicity 2)
K  0.000  0.500  0.250 (multiplicity 4)
Pd  0.000  0.000  0.500 (multiplicity 2)
F  0.204  0.204  0.394 (multiplicity 16)

## Properties
Its crystal system is tetragonal. The calculation puts the uncorrected formation energy at -22.03 eV/f.u.

=====

Density functional theory data (PBE-GGA) for a geometry-optimized Cr2PbW2 structure.

abc: 4.078 4.078 10.649
angles: 90.00 90.00 90.00
Space group I4/mmm (No. 139)
Unique sites:
Cr  0.000  0.000  0.116 (multiplicity 4)
Pb  0.000  0.000  0.500 (multiplicity 2)
W  0.000  0.500  0.250 (multiplicity 4)

## Properties
The calculation puts the energy relative to the elements at 736 meV per atom. Its crystal system is tetragonal.

=====

Density functional theory data (PBE-GGA) for a geometry-optimized CoIr2Cl structure.

abc: 3.731 3.731 18.258
angles: 90.00 90.00 90.00
Space group I-42d (No. 122)
Unique sites:
Co  0.000  0.000  0.000 (multiplicity 4)
Ir  0.231  0.250  0.125 (multiplicity 8)
Cl  0.000  0.000  0.500 (multiplicity 4)

## Properties
Its crystal system is tetragonal. The calculation puts the uncorrected formation energy at 3.87 eV/f.u.